No. 1
Here is crystalline ScMnCI2 at its relaxed geometry from Alexandria. Energies are from PBE-GGA.

Unit cell a=5.4263 b=3.8496 c=5.4263 alpha=90.00 beta=90.00 gamma=90.00
Last column: magnetic moment on the atom in μB.
Element x y z (fractional)
Mn1 0.0000 0.5000 0.0000  -3.45
I1 0.0000 0.0000 0.5000  -0.10
Sc1 0.5000 0.5000 0.5000  0.84
I2 0.5000 0.0000 0.0000  -0.06
C1 0.0000 0.0000 0.0000  0.25

Results
SG: P4/mmm
DOS at the Fermi energy in states/eV/atom: 0.437
ρ in g cm⁻³: 5.36
E in eV/atom: -4.888


No. 2
Here is crystalline MnTe2CI at its relaxed geometry from Alexandria. Energies are from PBE-GGA.

Unit cell a=4.8777 b=4.8777 c=5.7174 alpha=90.00 beta=90.00 gamma=90.00
Last column: magnetic moment on the atom in μB.
Element x y z (fractional)
Mn1 0.0000 0.0000 0.0000  0.28
Te1 0.0000 0.5000 0.0000  -0.03
Te2 0.5000 0.0000 0.0000  -0.03
I1 0.0000 0.0000 0.5000  -0.10
C1 0.5000 0.5000 0.5000  0.88

Results
Polymorph energy (0 for the lowest one) in meV/atom: 40.6
SG: P4/mmm
DOS at the Fermi energy in states/eV/atom: 1.285
ρ in g cm⁻³: 5.48
E in eV/atom: -3.537


No. 3
Here is crystalline MnTe2CI at its relaxed geometry from Alexandria. Energies are from PBE-GGA.

Unit cell a=4.7376 b=4.7376 c=4.9128 alpha=90.00 beta=90.00 gamma=90.00
Last column: magnetic moment on the atom in μB.
Element x y z (fractional)
Te1 0.0000 0.5000 0.0000  -0.01
C1 0.0000 0.0000 0.0000  0.07
I1 0.0000 0.0000 0.5000  0.02
Te2 0.5000 0.0000 0.0000  -0.01
Mn1 0.5000 0.5000 0.5000  -0.03

Results
Polymorph energy (0 for the lowest one) in meV/atom: 0.0
SG: P4/mmm
DOS at the Fermi energy in states/eV/atom: 1.266
ρ in g cm⁻³: 6.76
E in eV/atom: -3.578


No. 4
Here is crystalline ZrMn2CI at its relaxed geometry from Alexandria. Energies are from PBE-GGA.

Unit cell a=3.9386 b=5.5151 c=3.9386 alpha=90.00 beta=90.00 gamma=90.00
Last column: magnetic moment on the atom in μB.
Element x y z (fractional)
I1 0.0000 0.5000 0.0000  0.05
Mn1 0.0000 0.0000 0.5000  2.78
Zr1 0.5000 0.5000 0.5000  -0.53
C1 0.0000 0.0000 0.0000  -0.26
Mn2 0.5000 0.0000 0.0000  2.47

Results
SG: P4/mmm
DOS at the Fermi energy in states/eV/atom: 0.727
ρ in g cm⁻³: 6.60
E in eV/atom: -6.947


No. 5
Here is crystalline MoC3I at its relaxed geometry from Alexandria. Energies are from PBE-GGA.

Unit cell a=4.0425 b=4.0425 c=4.0425 alpha=90.00 beta=90.00 gamma=90.00
Element x y z (fractional)
C1 0.5000 0.0000 0.0000
I1 0.0000 0.0000 0.0000
C2 0.0000 0.5000 0.0000
Mo1 0.5000 0.5000 0.5000
C3 0.0000 0.0000 0.5000

Results
Polymorph energy (0 for the lowest one) in meV/atom: 1282.9
SG: Pm-3m
DOS at the Fermi energy in states/eV/atom: 1.100
ρ in g cm⁻³: 6.51
E in eV/atom: -4.482


No. 6
Here is crystalline MoC3I at its relaxed geometry from Alexandria. Energies are from PBE-GGA.

Unit cell a=4.2356 b=4.2356 c=4.2356 alpha=90.00 beta=90.00 gamma=90.00
Last column: magnetic moment on the atom in μB.
Element x y z (fractional)
Mo1 0.0000 0.0000 0.0000  -0.28
C1 0.5000 0.0000 0.0000  0.01
C2 0.0000 0.5000 0.0000  0.02
I1 0.5000 0.5000 0.5000  -0.12
C3 0.0000 0.0000 0.5000  0.02

Results
Polymorph energy (0 for the lowest one) in meV/atom: 0.0
SG: Pm-3m
DOS at the Fermi energy in states/eV/atom: 1.166
ρ in g cm⁻³: 5.66
E in eV/atom: -5.765


No. 7
Here is crystalline MoCI2 at its relaxed geometry from Alexandria. Energies are from PBE-GGA.

Unit cell a=4.7560 b=4.7560 c=4.7560 alpha=60.00 beta=60.00 gamma=60.00
Element x y z (fractional)
I1 0.7500 0.7500 0.7500
I2 0.2500 0.2500 0.2500
Mo1 0.5000 0.5000 0.5000
C1 0.0000 0.0000 0.0000

Results
Polymorph energy (0 for the lowest one) in meV/atom: 0.0
SG: Fm-3m
DOS at the Fermi energy in states/eV/atom: 1.231
ρ in g cm⁻³: 7.90
E in eV/atom: -3.812


No. 8
Here is crystalline Mo3CI at its relaxed geometry from Alexandria. Energies are from PBE-GGA.

Unit cell a=4.2823 b=4.2823 c=4.2823 alpha=90.00 beta=90.00 gamma=90.00
Element x y z (fractional)
Mo1 0.0000 0.5000 0.0000
Mo2 0.0000 0.0000 0.5000
I1 0.5000 0.5000 0.5000
C1 0.0000 0.0000 0.0000
Mo3 0.5000 0.0000 0.0000

Results
Polymorph energy (0 for the lowest one) in meV/atom: 0.0
SG: Pm-3m
DOS at the Fermi energy in states/eV/atom: 1.670
ρ in g cm⁻³: 9.02
E in eV/atom: -7.840


Formation energy (no corrections)
In order: 0.6772, 1.7084, 1.6678, 0.5853, 3.5285, 2.2456, 1.9773, 0.8136
Unit: eV/atom